Record 1
{
  "formula": "KInHg2",
  "functional": "PBE",
  "state": "relaxed",
  "lattice_angstrom": [[7.761, 0.000, 0.000], [0.000, 7.761, 0.000], [0.000, 0.000, 7.761]],
  "species": ["K", "K", "K", "K", "In", "In", "In", "In", "Hg", "Hg", "Hg", "Hg", "Hg", "Hg", "Hg", "Hg"],
  "frac_coords": [[0.000, 0.000, 0.000], [0.000, 0.500, 0.500], [0.500, 0.000, 0.500], [0.500, 0.500, 0.000], [0.250, 0.250, 0.250], [0.250, 0.750, 0.750], [0.750, 0.250, 0.750], [0.750, 0.750, 0.250], [0.000, 0.000, 0.500], [0.000, 0.500, 0.000], [0.250, 0.250, 0.750], [0.250, 0.750, 0.250], [0.500, 0.000, 0.000], [0.500, 0.500, 0.500], [0.750, 0.250, 0.250], [0.750, 0.750, 0.750]],
  "n_ef_per_ev_atom": 0.343,
  "dft_energy_ev_per_cell": -18.78,
  "formation_energy_ev_per_atom": -0.06
}

Record 2
{
  "formula": "KInHg2",
  "functional": "PBE",
  "state": "relaxed",
  "lattice_angstrom": [[3.638, 0.000, 0.000], [0.000, 4.329, 0.000], [0.000, 0.000, 7.890]],
  "species": ["K", "In", "Hg", "Hg"],
  "frac_coords": [[0.000, 0.000, 0.000], [0.500, 0.500, 0.679], [0.000, 0.000, 0.507], [0.500, 0.500, 0.269]],
  "n_ef_per_ev_atom": 0.287,
  "dft_energy_ev_per_cell": -4.91,
  "formation_energy_ev_per_atom": -0.12
}

Record 3
{
  "formula": "KIn2Hg",
  "functional": "PBE",
  "state": "relaxed",
  "lattice_angstrom": [[3.399, 0.000, 0.000], [0.000, 4.650, 0.000], [-1.671, 0.000, 7.898]],
  "species": ["K", "In", "In", "Hg"],
  "frac_coords": [[0.000, 0.000, 0.000], [0.350, 0.500, 0.690], [0.761, 0.000, 0.503], [0.628, 0.500, 0.261]],
  "n_ef_per_ev_atom": 0.425,
  "dft_energy_ev_per_cell": -7.31,
  "formation_energy_ev_per_atom": -0.11
}

Record 4
{
  "formula": "KIn6Hg6",
  "functional": "PBE",
  "state": "relaxed",
  "lattice_angstrom": [[-3.340, 4.999, 5.511], [3.340, -4.999, 5.511], [3.340, 4.999, -5.511]],
  "species": ["K", "In", "In", "In", "In", "In", "In", "Hg", "Hg", "Hg", "Hg", "Hg", "Hg"],
  "frac_coords": [[0.000, 0.000, 0.000], [0.000, 0.000, 0.500], [0.000, 0.500, 0.000], [0.243, 0.500, 0.743], [0.500, 0.000, 0.000], [0.500, 0.500, 0.500], [0.757, 0.500, 0.257], [0.179, 0.679, 0.500], [0.339, 0.339, 0.000], [0.348, 0.000, 0.348], [0.652, 0.000, 0.652], [0.661, 0.661, 0.000], [0.821, 0.321, 0.500]],
  "n_ef_per_ev_atom": 0.348,
  "dft_energy_ev_per_cell": -19.87,
  "formation_energy_ev_per_atom": -0.04
}

Record 5
{
  "formula": "K3InHg6",
  "functional": "PBE",
  "state": "relaxed",
  "lattice_angstrom": [[6.665, 3.848, 4.283], [-6.665, 3.848, 4.283], [0.000, -7.697, 4.283]],
  "species": ["K", "K", "K", "K", "K", "K", "In", "In", "Hg", "Hg", "Hg", "Hg", "Hg", "Hg", "Hg", "Hg", "Hg", "Hg", "Hg", "Hg"],
  "frac_coords": [[0.245, 0.750, 0.255], [0.250, 0.745, 0.755], [0.255, 0.245, 0.750], [0.745, 0.755, 0.250], [0.750, 0.255, 0.245], [0.755, 0.250, 0.745], [0.000, 0.000, 0.000], [0.500, 0.500, 0.500], [0.067, 0.070, 0.364], [0.070, 0.364, 0.067], [0.136, 0.430, 0.433], [0.364, 0.067, 0.070], [0.430, 0.433, 0.136], [0.433, 0.136, 0.430], [0.567, 0.864, 0.570], [0.570, 0.567, 0.864], [0.636, 0.933, 0.930], [0.864, 0.570, 0.567], [0.930, 0.636, 0.933], [0.933, 0.930, 0.636]],
  "n_ef_per_ev_atom": 0.295,
  "dft_energy_ev_per_cell": -20.27,
  "formation_energy_ev_per_atom": -0.23
}

Record 6
{
  "formula": "KInHg2",
  "functional": "PBE",
  "state": "relaxed",
  "lattice_angstrom": [[5.495, 0.000, 0.000], [0.000, 5.495, 0.000], [0.000, 0.000, 20.148]],
  "species": ["K", "K", "K", "K", "In", "In", "In", "In", "Hg", "Hg", "Hg", "Hg", "Hg", "Hg", "Hg", "Hg"],
  "frac_coords": [[0.000, 0.000, 0.000], [0.000, 0.500, 0.250], [0.500, 0.000, 0.750], [0.500, 0.500, 0.500], [0.000, 0.000, 0.500], [0.000, 0.500, 0.750], [0.500, 0.000, 0.250], [0.500, 0.500, 0.000], [0.136, 0.250, 0.625], [0.250, 0.636, 0.875], [0.250, 0.864, 0.375], [0.364, 0.250, 0.125], [0.636, 0.750, 0.125], [0.750, 0.136, 0.375], [0.750, 0.364, 0.875], [0.864, 0.750, 0.625]],
  "n_ef_per_ev_atom": 0.556,
  "dft_energy_ev_per_cell": -18.42,
  "formation_energy_ev_per_atom": -0.04
}

Q: What is the formula in the first record?
A: KInHg2

Copy entry 3 word for word.
{
  "formula": "KIn2Hg",
  "functional": "PBE",
  "state": "relaxed",
  "lattice_angstrom": [[3.399, 0.000, 0.000], [0.000, 4.650, 0.000], [-1.671, 0.000, 7.898]],
  "species": ["K", "In", "In", "Hg"],
  "frac_coords": [[0.000, 0.000, 0.000], [0.350, 0.500, 0.690], [0.761, 0.000, 0.503], [0.628, 0.500, 0.261]],
  "n_ef_per_ev_atom": 0.425,
  "dft_energy_ev_per_cell": -7.31,
  "formation_energy_ev_per_atom": -0.11
}